Entry 1:
Computed, not measured: a relaxed structure of CuNiOs2 at the PBE level of DFT.

a = 2.890 Å, b = 2.890 Å, c = 6.135 Å
α = 90.00°, β = 90.00°, γ = 90.00°
Sites, in units of the cell vectors:
1 Os 0.000 0.000 0.509
2 Cu 0.500 0.500 0.250
3 Os 0.000 0.000 0.991
4 Ni 0.500 0.500 0.750

Calculated values
Offset from the most stable computed form   0.2675 eV/atom
Electronic total energy   -30.599 eV for the cell shown
DFT formation energy   0.43 eV per atom
Magnetic moment   0.00 μB per cell

Entry 2:
Computed, not measured: a relaxed structure of CuNiOs2 at the PBE level of DFT.

a = 2.645 Å, b = 3.778 Å, c = 5.209 Å
α = 90.00°, β = 90.00°, γ = 90.00°
Sites, in units of the cell vectors:
1 Os 0.000 0.000 0.503
2 Os 0.000 0.000 0.997
3 Ni 0.500 0.500 0.750
4 Cu 0.500 0.500 0.250

Calculated values
Offset from the most stable computed form   0.2242 eV/atom
Electronic total energy   -30.772 eV for the cell shown
DFT formation energy   0.39 eV per atom
Magnetic moment   0.00 μB per cell

Entry 3:
Computed, not measured: a relaxed structure of CuNiOs2 at the PBE level of DFT.

a = 2.708 Å, b = 2.708 Å, c = 7.122 Å
α = 90.00°, β = 90.00°, γ = 90.00°
Sites, in units of the cell vectors:
1 Os 0.000 0.000 0.994
2 Ni 0.500 0.500 0.743
3 Cu 0.000 0.000 0.513
4 Os 0.500 0.500 0.250

Calculated values
Offset from the most stable computed form   0.0192 eV/atom
Electronic total energy   -31.592 eV for the cell shown
DFT formation energy   0.19 eV per atom
Magnetic moment   0.00 μB per cell

Entry 4:
Computed, not measured: a relaxed structure of CuNiOs2 at the PBE level of DFT.

a = 3.708 Å, b = 2.718 Å, c = 5.869 Å
α = 62.36°, β = 90.00°, γ = 90.00°
Sites, in units of the cell vectors:
1 Ni 0.500 0.765 0.735
2 Os 0.500 0.259 0.240
3 Cu 0.000 0.485 0.515
4 Os 0.000 0.991 0.009

Calculated values
Offset from the most stable computed form   0.0000 eV/atom
Electronic total energy   -31.669 eV for the cell shown
DFT formation energy   0.17 eV per atom
Magnetic moment   0.00 μB per cell